## one
An optimized crystal structure of Ti3Se4. Source: the Alexandria database, functional PBEsol.

The total magnetization comes out at 0.4 μB/f.u.

The structure belongs to space group C2/m (No. 12); the cell edges are 13.409, 3.467 and 6.364 Å and the angles 90.00°, 117.51° and 90.00°. The asymmetric unit holds Ti at (0.000, 0.000, 0.000), Ti at (0.249, 0.500, 0.706), Se at (0.109, 0.000, 0.448) and Se at (0.133, 0.500, 0.961).


## two
An optimized crystal structure of Ti3Se4. Source: the Alexandria database, functional PBEsol.

The total magnetization comes out at 0.0 μB/f.u.

The structure belongs to space group P6_3/m (No. 176); the cell edges are 9.7925, 9.7925 and 3.4952 Å and the angles 90.00°, 90.00° and 120.00°. The asymmetric unit holds Ti at (0.1291, 0.4889, 0.2500), Se at (0.0522, 0.7017, 0.2500) and Se at (0.3333, 0.6667, 0.7500).


Unit: meV/atom. Relative energies: one 47; two 0.


## one
An optimized crystal structure of Ti2VSe4. Source: the Alexandria database, functional PBEsol.

The total magnetization comes out at 1.3 μB/f.u.

The structure belongs to space group Cm (No. 8); the cell edges are 13.312, 3.409 and 6.270 Å and the angles 90.00°, 116.61° and 90.00°. The asymmetric unit holds Ti at (0.000, 0.000, 0.000), Ti at (0.247, 0.500, 0.694), V at (0.254, 0.000, 0.309), Se at (0.106, 0.000, 0.446), Se at (0.140, 0.500, 0.977), Se at (0.362, 0.000, 0.036) and Se at (0.392, 0.500, 0.547).


## two
An optimized crystal structure of Ti2VSe4. Source: the Alexandria database, functional PBEsol.

The total magnetization comes out at 1.7 μB/f.u.

The structure belongs to space group C2/m (No. 12); the cell edges are 13.342, 3.458 and 6.244 Å and the angles 90.00°, 116.90° and 90.00°. The asymmetric unit holds Ti at (0.247, 0.000, 0.213), V at (0.000, 0.500, 0.500), Se at (0.110, 0.500, 0.946) and Se at (0.129, 0.000, 0.461).


Unit: meV/atom. Relative energies: one 16; two 0.


## one
An optimized crystal structure of TlSe2. Source: the Alexandria database, functional PBEsol.

The total magnetization comes out at 0.0 μB/f.u.

The structure belongs to space group I4/mcm (No. 140); the cell edges are 6.280, 6.280 and 7.971 Å and the angles 90.00°, 90.00° and 90.00°. The asymmetric unit holds Tl at (0.000, 0.000, 0.250) and Se at (0.130, 0.370, 0.000).


## two
An optimized crystal structure of TlSe2. Source: the Alexandria database, functional PBEsol.

The total magnetization comes out at 0.0 μB/f.u.

The structure belongs to space group Cmcm (No. 63); the cell edges are 4.862, 11.553 and 5.809 Å and the angles 90.00°, 90.00° and 90.00°. The asymmetric unit holds Tl at (0.000, 0.193, 0.250), Se at (0.000, 0.089, 0.750) and Se at (0.000, 0.483, 0.250).


## three
An optimized crystal structure of TlSe2. Source: the Alexandria database, functional PBEsol.

The total magnetization comes out at 0.0 μB/f.u.

The structure belongs to space group Cm (No. 8); the cell edges are 14.148, 3.880 and 6.740 Å and the angles 90.00°, 117.84° and 90.00°. The asymmetric unit holds Tl at (0.000, 0.000, 0.000), Tl at (0.161, 0.500, 0.468), Se at (0.246, 0.000, 0.073), Se at (0.315, 0.000, 0.811), Se at (0.368, 0.500, 0.349) and Se at (0.487, 0.000, 0.617).


## four
An optimized crystal structure of TlSe2. Source: the Alexandria database, functional PBEsol.

The total magnetization comes out at 0.0 μB/f.u.

The structure belongs to space group P6_3/mmc (No. 194); the cell edges are 4.6298, 4.6298 and 8.4876 Å and the angles 90.00°, 90.00° and 120.00°. The asymmetric unit holds Tl at (0.0000, 0.0000, 0.2500) and Se at (0.3333, 0.6667, 0.0226).


Unit: meV/atom. Relative energies: one 0; two 46; three 5; four 188.